Compound: Tm5GaRu
Source: Alexandria via LeMat-Bulk
Functional: PBE-GGA
Structure: optimized geometry

Unit cell a=5.7985 b=5.7985 c=11.5358 alpha=77.25 beta=77.25 gamma=76.47
Atoms (fractional coordinates):
1 Tm 0.9111 0.5786 0.1266
2 Tm 0.2098 0.5413 0.5650
3 Tm 0.5786 0.9111 0.6266
4 Tm 0.0112 0.9888 0.2500
5 Tm 0.4587 0.7902 0.9350
6 Tm 0.5413 0.2098 0.0650
7 Tm 0.9888 0.0112 0.7500
8 Tm 0.4214 0.0889 0.3734
9 Tm 0.7902 0.4587 0.4350
10 Tm 0.0889 0.4214 0.8734
11 Ga 0.4152 0.5848 0.2500
12 Ga 0.5848 0.4152 0.7500
13 Ru 0.0000 0.0000 0.0000
14 Ru 0.0000 0.0000 0.5000

Summary:
The total magnetization comes out at 0.00 μB/cell. Its mass density is 9.32 g/cm3. The calculation puts the volume at 361.9 Å³/cell. The symmetry is No. 15. The formation energy is -0.19 eV per atom.